# Ac2Re2B2C

Ac2Re2B2C after structural relaxation (PBE, Alexandria). Values from VASP.

Output
total magnetic moment = 0.000 μB/atom
energy = -57.12 eV/cell
space group = C2/m, No. 12
energy of formation = -19.74 kJ/mol of atoms

Structure (Quantum ESPRESSO input):
```
&SYSTEM
  ibrav = 0, nat = 7, ntyp = 4
/
ATOMIC_SPECIES
Ac 227.00 Ac.upf
Re 186.21 Re.upf
B 10.81 B.upf
C 12.01 C.upf
CELL_PARAMETERS angstrom
3.842 0.000 0.000
1.921 5.602 -0.227
1.921 1.884 5.954
ATOMIC_POSITIONS angstrom
Ac 3.842 2.307 3.939
Ac 3.842 5.178 1.788
Re 3.842 5.572 5.306
Re 3.842 1.913 0.422
B 1.921 2.512 1.212
B 5.763 4.973 4.516
C 0.000 0.000 0.000
```

=====

# Tb3MnPt12

Tb3MnPt12 after structural relaxation (PBE, Alexandria). Values from VASP.

Output
total magnetic moment = 0.268 μB/atom
energy = -108.88 eV/cell
space group = P4/mmm, No. 123
energy of formation = -80.41 kJ/mol of atoms

Structure (Quantum ESPRESSO input):
```
&SYSTEM
  ibrav = 0, nat = 16, ntyp = 3
/
ATOMIC_SPECIES
Tb 158.93 Tb.upf
Mn 54.94 Mn.upf
Pt 195.08 Pt.upf
CELL_PARAMETERS angstrom
-2.033 0.324 -3.538
-2.818 -2.629 1.379
-8.587 12.389 6.070
ATOMIC_POSITIONS angstrom
Tb -2.101 3.030 1.485
Tb -4.294 6.194 3.035
Tb -6.487 9.358 4.585
Mn 0.000 0.000 0.000
Pt -2.426 -1.152 -1.080
Pt -4.513 1.858 0.395
Pt -6.720 5.042 1.955
Pt -8.926 8.225 3.515
Pt -2.001 1.582 -1.073
Pt -4.211 4.770 0.489
Pt -6.410 7.943 2.043
Pt -8.620 11.131 3.605
Pt -2.394 0.105 1.385
Pt -4.603 3.293 2.947
Pt -6.803 6.466 4.502
Pt -9.012 9.654 6.064
```

=====

# PmCd11Ga

PmCd11Ga after structural relaxation (PBE, Alexandria). Values from VASP.

Output
total magnetic moment = 0.000 μB/atom
energy = -19.04 eV/cell
space group = C2/m, No. 12
energy of formation = -8.91 kJ/mol of atoms

Structure (Quantum ESPRESSO input):
```
&SYSTEM
  ibrav = 0, nat = 13, ntyp = 3
/
ATOMIC_SPECIES
Pm 145.00 Pm.upf
Cd 112.41 Cd.upf
Ga 69.72 Ga.upf
CELL_PARAMETERS angstrom
5.445 0.003 2.268
2.669 7.025 1.112
-0.003 0.001 7.676
ATOMIC_POSITIONS angstrom
Pm 0.000 0.000 0.000
Cd 2.144 1.500 2.508
Cd 5.967 5.529 8.548
Cd 4.823 5.527 3.624
Cd 3.287 1.502 7.432
Cd 3.660 4.541 6.516
Cd 4.451 2.488 4.540
Cd 6.355 2.490 7.639
Cd 1.756 4.539 3.417
Cd 1.334 3.512 0.556
Cd 2.721 0.002 4.972
Cd -0.001 0.001 3.838
Ga 4.057 3.514 1.690
```

=====

# LiCd7Hg6

LiCd7Hg6 after structural relaxation (PBE, Alexandria). Values from VASP.

Output
total magnetic moment = 0.000 μB/atom
energy = -20.57 eV/cell
space group = Ibam, No. 72
energy of formation = -1.05 kJ/mol of atoms

Structure (Quantum ESPRESSO input):
```
&SYSTEM
  ibrav = 0, nat = 28, ntyp = 3
/
ATOMIC_SPECIES
Li 6.94 Li.upf
Cd 112.41 Cd.upf
Hg 200.59 Hg.upf
CELL_PARAMETERS angstrom
5.728 0.000 2.150
3.883 11.127 -1.640
-1.003 -3.324 11.380
ATOMIC_POSITIONS angstrom
Li 5.016 1.951 4.047
Li 3.592 5.852 7.843
Cd 3.391 -3.211 12.913
Cd 5.217 11.014 -1.023
Cd 5.714 4.014 6.358
Cd 2.894 3.788 5.532
Cd 5.174 6.336 1.583
Cd 4.181 -0.578 8.317
Cd 6.193 1.156 11.662
Cd 7.396 8.692 4.367
Cd 3.434 1.467 10.307
Cd 4.427 8.381 3.573
Cd 2.415 6.647 0.228
Cd 1.211 -0.889 7.523
Cd 2.152 1.951 2.973
Cd 6.456 5.852 8.918
Hg 4.553 3.126 1.466
Hg 0.161 -0.347 3.388
Hg 6.654 4.248 3.499
Hg 2.969 0.775 5.687
Hg 4.055 4.677 10.424
Hg 8.447 8.150 8.502
Hg 1.954 3.555 8.391
Hg 5.639 7.028 6.203
Hg 2.846 5.801 3.445
Hg 5.761 2.002 8.445
Hg 1.739 -1.424 10.457
Hg 6.869 9.227 1.433
```

=====

# BiH2OsO6

BiH2OsO6 after structural relaxation (PBE, Alexandria). Values from VASP.

Output
total magnetic moment = 0.098 μB/atom
energy = -61.46 eV/cell
space group = P1, No. 1

Structure (Quantum ESPRESSO input):
```
&SYSTEM
  ibrav = 0, nat = 10, ntyp = 4
/
ATOMIC_SPECIES
Bi 208.98 Bi.upf
H 1.01 H.upf
Os 190.23 Os.upf
O 16.00 O.upf
CELL_PARAMETERS angstrom
5.305 -0.041 0.019
-2.687 4.469 0.051
-2.623 -1.390 5.027
ATOMIC_POSITIONS angstrom
Bi 2.704 1.442 2.452
H -0.429 3.608 0.906
H 0.461 0.589 3.941
Os -0.100 3.016 4.998
O -1.618 3.080 3.979
O 1.638 -0.167 1.165
O 1.954 2.935 0.936
O -0.643 1.246 1.079
O 0.769 1.508 3.754
O -1.719 -0.393 3.838
```

=====

# AlZnOs2

AlZnOs2 after structural relaxation (PBE, Alexandria). Values from VASP.

Output
total magnetic moment = 0.000 μB/atom
energy = -27.26 eV/cell
space group = P4/mmm, No. 123
energy of formation = 5.20 kJ/mol of atoms

Structure (Quantum ESPRESSO input):
```
&SYSTEM
  ibrav = 0, nat = 4, ntyp = 3
/
ATOMIC_SPECIES
Zn 65.41 Zn.upf
Os 190.23 Os.upf
Al 26.98 Al.upf
CELL_PARAMETERS angstrom
-1.812 -0.199 -2.412
-2.128 -1.303 1.707
-2.307 5.450 1.283
ATOMIC_POSITIONS angstrom
Zn -2.547 0.611 -0.032
Os -2.297 5.424 1.277
Os -1.164 2.750 0.648
Al -3.701 3.336 0.610
```

=====

# TbSc3Tl

TbSc3Tl after structural relaxation (PBE, Alexandria). Values from VASP.

Output
total magnetic moment = 0.000 μB/atom
relative energy among the computed polymorphs = 0.0827 eV per atom
energy = -104.48 eV/cell
space group = C2/c, No. 15
energy of formation = -2.51 kJ/mol of atoms

Structure (Quantum ESPRESSO input):
```
&SYSTEM
  ibrav = 0, nat = 20, ntyp = 3
/
ATOMIC_SPECIES
Tb 158.93 Tb.upf
Sc 44.96 Sc.upf
Tl 204.38 Tl.upf
CELL_PARAMETERS angstrom
6.166 0.489 0.607
0.900 9.129 1.496
0.900 -0.486 9.238
ATOMIC_POSITIONS angstrom
Tb 4.404 4.810 7.371
Tb 6.646 3.202 5.373
Tb 3.563 4.322 3.970
Tb 1.321 5.931 5.969
Sc 2.327 6.272 9.287
Sc 2.556 1.153 2.929
Sc 5.639 2.860 2.055
Sc 5.410 7.980 8.413
Sc 2.550 3.612 0.857
Sc 2.333 8.821 7.326
Sc 5.416 5.520 10.484
Sc 5.633 0.311 4.015
Sc 1.323 3.392 7.996
Sc 3.560 1.800 6.019
Sc 6.644 5.741 3.345
Sc 4.406 7.333 5.323
Tl 5.525 8.714 2.581
Tl 2.442 0.419 8.760
Tl 5.525 1.618 8.295
Tl 2.442 7.515 3.047
```

=====

# Ir3PtPb

Ir3PtPb after structural relaxation (PBE, Alexandria). Values from VASP.

Output
total magnetic moment = 0.606 μB/atom
relative energy among the computed polymorphs = 0.0000 eV per atom
energy = -28.17 eV/cell
space group = Pm-3m, No. 221
energy of formation = 157.53 kJ/mol of atoms

Structure (Quantum ESPRESSO input):
```
&SYSTEM
  ibrav = 0, nat = 5, ntyp = 3
/
ATOMIC_SPECIES
Pb 207.20 Pb.upf
Ir 192.22 Ir.upf
Pt 195.08 Pt.upf
CELL_PARAMETERS angstrom
-0.556 -4.503 -1.756
3.586 -1.569 2.889
-3.240 -0.964 3.499
ATOMIC_POSITIONS angstrom
Pb -0.105 -3.518 2.316
Ir 1.793 -0.784 1.444
Ir -1.620 -0.482 1.749
Ir -0.278 -2.252 -0.878
Pt 0.000 0.000 0.000
```

=====

# MgMnCr2Au

MgMnCr2Au after structural relaxation (PBE, Alexandria). Values from VASP.

Output
total magnetic moment = 2.572 μB/atom
energy = -26.11 eV/cell
space group = P4/mmm, No. 123
energy of formation = 138.52 kJ/mol of atoms

Structure (Quantum ESPRESSO input):
```
&SYSTEM
  ibrav = 0, nat = 5, ntyp = 4
/
ATOMIC_SPECIES
Cr 52.00 Cr.upf
Mg 24.30 Mg.upf
Mn 54.94 Mn.upf
Au 196.97 Au.upf
CELL_PARAMETERS angstrom
4.850 0.000 0.000
0.000 4.778 0.000
0.000 0.000 4.850
ATOMIC_POSITIONS angstrom
Cr 0.000 0.000 2.425
Cr 2.425 0.000 0.000
Mg 0.000 0.000 0.000
Mn 2.425 2.389 2.425
Au 0.000 2.389 0.000
```

=====

# Zn4Pd5Pt

Zn4Pd5Pt after structural relaxation (PBE, Alexandria). Values from VASP.

Output
total magnetic moment = 0.000 μB/atom
energy = -41.69 eV/cell
space group = P4/mmm, No. 123
energy of formation = -44.25 kJ/mol of atoms

Structure (Quantum ESPRESSO input):
```
&SYSTEM
  ibrav = 0, nat = 10, ntyp = 3
/
ATOMIC_SPECIES
Zn 65.41 Zn.upf
Pd 106.42 Pd.upf
Pt 195.08 Pt.upf
CELL_PARAMETERS angstrom
-0.101 -2.442 -1.569
2.838 0.247 -0.567
3.643 -9.267 14.188
ATOMIC_POSITIONS angstrom
Zn 0.743 -1.891 2.895
Zn 1.462 -3.720 5.696
Zn 2.181 -5.547 8.492
Zn 2.900 -7.376 11.293
Pd 1.775 -2.132 0.515
Pd 2.473 -3.908 3.235
Pd 3.190 -5.731 6.026
Pd 3.907 -7.554 8.817
Pd 4.605 -9.331 11.537
Pt 0.000 0.000 0.000
```

=====

# MgTi2AlAs

MgTi2AlAs after structural relaxation (PBE, Alexandria). Values from VASP.

Output
total magnetic moment = 0.000 μB/atom
energy = -22.33 eV/cell
space group = P4/mmm, No. 123
energy of formation = 66.55 kJ/mol of atoms

Structure (Quantum ESPRESSO input):
```
&SYSTEM
  ibrav = 0, nat = 5, ntyp = 4
/
ATOMIC_SPECIES
Mg 24.30 Mg.upf
As 74.92 As.upf
Al 26.98 Al.upf
Ti 47.87 Ti.upf
CELL_PARAMETERS angstrom
4.813 0.000 0.000
0.000 4.877 0.000
0.000 0.000 4.813
ATOMIC_POSITIONS angstrom
Mg 2.406 2.438 2.406
As 0.000 2.438 0.000
Al 0.000 0.000 0.000
Ti 0.000 0.000 2.406
Ti 2.406 0.000 0.000
```

=====

| no. | mass density (g cm⁻³) | volume (Å³ per cell) |
| --- | --- | --- |
| 1 | 11.0 | 129.8 |
| 2 | 17.5 | 272.3 |
| 3 | 8.2 | 293.6 |
| 4 | 9.6 | 690.4 |
| 5 | 6.9 | 119.3 |
| 6 | 14.2 | 55.3 |
| 7 | 6.4 | 515.9 |
| 8 | 14.1 | 115.2 |
| 9 | 5.6 | 112.4 |
| 10 | 11.2 | 146.3 |
| 11 | 3.3 | 113.0 |